one | The following is a PBE calculation of a relaxed structure of NaSr2Li, from Alexandria via LeMat-Bulk.

a b c (Å): 12.356 12.356 12.356
angles (deg): 19.16 19.16 19.16
Atoms (fractional coordinates):
1 Na 0.000 0.000 0.000
2 Sr 0.245 0.245 0.245
3 Sr 0.422 0.422 0.422
4 Li 0.834 0.834 0.834

two | The following is a PBE calculation of a relaxed structure of NaSr2Li, from Alexandria via LeMat-Bulk.

a b c (Å): 8.227 8.227 8.227
angles (deg): 152.30 131.09 57.13
Atoms (fractional coordinates):
1 Na 0.000 0.000 0.000
2 Sr 0.262 0.262 0.000
3 Sr 0.738 0.738 0.000
4 Li 0.500 0.500 0.000

Which of them is the most stable? Correct choice: one.

one | The following is a PBE calculation of a relaxed structure of NaSr2Li, from Alexandria via LeMat-Bulk.

a b c (Å): 4.314 4.314 8.984
angles (deg): 90.00 90.00 90.00
Atoms (fractional coordinates):
1 Na 0.000 0.000 0.000
2 Sr 0.500 0.500 0.271
3 Sr 0.500 0.500 0.729
4 Li 0.000 0.000 0.500

two | The following is a PBE calculation of a relaxed structure of NaSr2Li, from Alexandria via LeMat-Bulk.

a b c (Å): 6.183 6.183 6.183
angles (deg): 60.00 60.00 60.00
Atoms (fractional coordinates):
1 Na 0.000 0.000 0.000
2 Sr 0.250 0.250 0.250
3 Sr 0.750 0.750 0.750
4 Li 0.500 0.500 0.500

Which of them is the most stable? Correct choice: one.